# PBE MnHBrCl2, optimized geometry
# symmetry: P4/mmm (123)
# total energy: -3.31 eV per atom
# crystal system: tetragonal
data_MnHBrCl2
_chemical_formula_sum 'Mn1 H1 Br1 Cl2'
_space_group_name_H-M_alt 'P 1'
_space_group_IT_number 1
_space_group_name_Hall 'P 1'
_cell_length_a 4.069
_cell_length_b 4.069
_cell_length_c 5.846
_cell_angle_alpha 90.00
_cell_angle_beta 90.00
_cell_angle_gamma 90.00
loop_
_atom_site_label
_atom_site_type_symbol
_atom_site_fract_x
_atom_site_fract_y
_atom_site_fract_z
Mn1 Mn 0.000 0.000 0.000
H1 H 0.000 0.000 0.500
Br1 Br 0.500 0.500 0.000
Cl1 Cl 0.000 0.500 0.500
Cl2 Cl 0.500 0.000 0.500

---

# PBE TbCeTmIn, optimized geometry
# symmetry: F-43m (216)
# ΔE_f: -0.067 eV per atom
# crystal system: cubic
data_TbCeTmIn
_chemical_formula_sum 'Tb4 Ce4 Tm4 In4'
_space_group_name_H-M_alt 'P 1'
_space_group_IT_number 1
_space_group_name_Hall 'P 1'
_cell_length_a 7.604
_cell_length_b 7.604
_cell_length_c 7.604
_cell_angle_alpha 90.00
_cell_angle_beta 90.00
_cell_angle_gamma 90.00
loop_
_atom_site_label
_atom_site_type_symbol
_atom_site_fract_x
_atom_site_fract_y
_atom_site_fract_z
Tb1 Tb 0.000 0.000 0.000
Tb2 Tb 0.000 0.500 0.500
Tb3 Tb 0.500 0.000 0.500
Tb4 Tb 0.500 0.500 0.000
Ce1 Ce 0.250 0.250 0.750
Ce2 Ce 0.250 0.750 0.250
Ce3 Ce 0.750 0.250 0.250
Ce4 Ce 0.750 0.750 0.750
Tm1 Tm 0.000 0.000 0.500
Tm2 Tm 0.000 0.500 0.000
Tm3 Tm 0.500 0.000 0.000
Tm4 Tm 0.500 0.500 0.500
In1 In 0.250 0.250 0.250
In2 In 0.250 0.750 0.750
In3 In 0.750 0.250 0.750
In4 In 0.750 0.750 0.250

---

# PBE Ta2RhCl, optimized geometry
# symmetry: Cmmm (65)
# offset from the most stable computed form: 31.3 kJ/mol of atoms
# crystal system: orthorhombic
# ΔE_f (raw): 0.101 eV per atom
data_Ta2RhCl
_chemical_formula_sum 'Ta4 Rh2 Cl2'
_space_group_name_H-M_alt 'P 1'
_space_group_IT_number 1
_space_group_name_Hall 'P 1'
_cell_length_a 2.974
_cell_length_b 5.096
_cell_length_c 9.049
_cell_angle_alpha 90.00
_cell_angle_beta 90.00
_cell_angle_gamma 90.00
loop_
_atom_site_label
_atom_site_type_symbol
_atom_site_fract_x
_atom_site_fract_y
_atom_site_fract_z
Ta1 Ta 0.000 0.000 0.246
Ta2 Ta 0.000 0.000 0.754
Ta3 Ta 0.500 0.500 0.246
Ta4 Ta 0.500 0.500 0.754
Rh1 Rh 0.000 0.500 0.000
Rh2 Rh 0.500 0.000 0.000
Cl1 Cl 0.000 0.500 0.500
Cl2 Cl 0.500 0.000 0.500

---

# PBE TeRhAu3, optimized geometry
# symmetry: Pm-3m (221)
# offset from the most stable computed form: 0.0 kJ/mol of atoms
# crystal system: cubic
# ΔE_f (raw): 0.900 eV per atom
data_TeRhAu3
_chemical_formula_sum 'Te1 Rh1 Au3'
_space_group_name_H-M_alt 'P 1'
_space_group_IT_number 1
_space_group_name_Hall 'P 1'
_cell_length_a 5.010
_cell_length_b 5.010
_cell_length_c 5.010
_cell_angle_alpha 90.00
_cell_angle_beta 90.00
_cell_angle_gamma 90.00
loop_
_atom_site_label
_atom_site_type_symbol
_atom_site_fract_x
_atom_site_fract_y
_atom_site_fract_z
Te1 Te 0.000 0.000 0.000
Rh1 Rh 0.500 0.500 0.500
Au1 Au 0.000 0.500 0.500
Au2 Au 0.500 0.000 0.500
Au3 Au 0.500 0.500 0.000

---

# PBE Pm4GaPI2, optimized geometry
# symmetry: P2/m (10)
# crystal system: monoclinic
# ΔE_f (raw): -1.064 eV per atom
data_Pm4GaPI2
_chemical_formula_sum 'Pm4 Ga1 P1 I2'
_space_group_name_H-M_alt 'P 1'
_space_group_IT_number 1
_space_group_name_Hall 'P 1'
_cell_length_a 7.373
_cell_length_b 4.275
_cell_length_c 8.042
_cell_angle_alpha 90.00
_cell_angle_beta 108.07
_cell_angle_gamma 90.00
loop_
_atom_site_label
_atom_site_type_symbol
_atom_site_fract_x
_atom_site_fract_y
_atom_site_fract_z
Pm1 Pm 0.226 0.000 0.193
Pm2 Pm 0.262 0.500 0.800
Pm3 Pm 0.738 0.500 0.200
Pm4 Pm 0.774 0.000 0.807
Ga1 Ga 0.500 0.000 0.000
P1 P 0.000 0.500 0.000
I1 I 0.000 0.000 0.500
I2 I 0.500 0.500 0.500

---

# PBE Dy6Mg2C, optimized geometry
# symmetry: C2/m (12)
# ΔE_f: -0.109 eV per atom
# crystal system: monoclinic
data_Dy6Mg2C
_chemical_formula_sum 'Dy6 Mg2 C1'
_space_group_name_H-M_alt 'P 1'
_space_group_IT_number 1
_space_group_name_Hall 'P 1'
_cell_length_a 7.020
_cell_length_b 7.020
_cell_length_c 7.044
_cell_angle_alpha 120.09
_cell_angle_beta 120.09
_cell_angle_gamma 60.18
loop_
_atom_site_label
_atom_site_type_symbol
_atom_site_fract_x
_atom_site_fract_y
_atom_site_fract_z
Dy1 Dy 0.225 0.736 0.724
Dy2 Dy 0.244 0.244 0.783
Dy3 Dy 0.264 0.775 0.276
Dy4 Dy 0.736 0.225 0.724
Dy5 Dy 0.756 0.756 0.217
Dy6 Dy 0.775 0.264 0.276
Mg1 Mg 0.250 0.250 0.251
Mg2 Mg 0.750 0.750 0.749
C1 C 0.000 0.000 0.500

---

Record order is preserved below.
DOS(E_F): 2.1 23.1 9.3 6.2 4.6 10.2 states/eV/cell
Record order is preserved below.
Calculated density: 3.5 8.8 12.1 10.8 6.4 7.0 Mg/m³